No. 1
# IrBrCl2

IrBrCl2 after structural relaxation (PBE, Alexandria).

## Properties
The value obtained for the uncorrected energy is -3.424 eV/atom. The raw formation energy is 0.133 eV/atom. The value obtained for the spin magnetization is 0.0 μB/f.u.

Structure (CIF):
```
data_IrBrCl2
_cell_length_a 8.2835
_cell_length_b 8.2835
_cell_length_c 5.3435
_cell_angle_alpha 90.00
_cell_angle_beta 90.00
_cell_angle_gamma 90.00
_symmetry_space_group_name_H-M 'I -4 2 d'
_symmetry_Int_Tables_number 122
_symmetry_space_group_name_Hall 'I -4 2bw'
loop_
_atom_site_label
_atom_site_type_symbol
_atom_site_fract_x
_atom_site_fract_y
_atom_site_fract_z
_atom_site_occupancy
Ir1 Ir 0.0000 0.0000 0.0000 1
Br1 Br 0.0000 0.0000 0.5000 1
Cl1 Cl 0.1184 0.2500 0.1250 1
```


No. 2
# Pm3SmPd2

Pm3SmPd2 after structural relaxation (PBE, Alexandria).

## Properties
The value obtained for the uncorrected energy is -5.326 eV/atom. The formation enthalpy at 0 K is -0.4336 eV/atom. The value obtained for the spin magnetization is 0.0 μB/f.u.

Structure (CIF):
```
data_Pm3SmPd2
_cell_length_a 7.0841
_cell_length_b 14.0779
_cell_length_c 7.2646
_cell_angle_alpha 90.00
_cell_angle_beta 90.00
_cell_angle_gamma 90.00
_symmetry_space_group_name_H-M 'I b a m'
_symmetry_Int_Tables_number 72
_symmetry_space_group_name_Hall '-I 2 2c'
loop_
_atom_site_label
_atom_site_type_symbol
_atom_site_fract_x
_atom_site_fract_y
_atom_site_fract_z
_atom_site_occupancy
Pm1 Pm 0.0000 0.0000 0.2500 1
Pm2 Pm 0.0000 0.2658 0.2500 1
Sm1 Sm 0.0000 0.5000 0.0000 1
Pd1 Pd 0.2083 0.1397 0.0000 1
```


No. 3
# Sr2AgSbS4

Sr2AgSbS4 after structural relaxation (PBE, Alexandria).

## Properties
The value obtained for the uncorrected energy is -4.420 eV/atom. The raw formation energy is -1.065 eV/atom. The value obtained for the spin magnetization is 0.0 μB/f.u.

Structure (CIF):
```
data_Sr2AgSbS4
_cell_length_a 8.0987
_cell_length_b 8.3897
_cell_length_c 11.6503
_cell_angle_alpha 90.00
_cell_angle_beta 90.00
_cell_angle_gamma 90.00
_symmetry_space_group_name_H-M 'I m m a'
_symmetry_Int_Tables_number 74
_symmetry_space_group_name_Hall '-I 2b 2'
loop_
_atom_site_label
_atom_site_type_symbol
_atom_site_fract_x
_atom_site_fract_y
_atom_site_fract_z
_atom_site_occupancy
Sr1 Sr 0.0000 0.0000 0.0000 1
Sr2 Sr 0.2500 0.2500 0.2500 1
Ag1 Ag 0.0000 0.0000 0.5000 1
Sb1 Sb 0.2500 0.2500 0.7500 1
S1 S 0.0000 0.0159 0.7475 1
S2 S 0.2409 0.2500 0.5102 1
```


No. 4
# SbP2Os

SbP2Os after structural relaxation (PBE, Alexandria).

## Properties
The value obtained for the uncorrected energy is -6.273 eV/atom. The raw formation energy is 0.270 eV/atom. The value obtained for the spin magnetization is 0.0 μB/f.u.

Structure (CIF):
```
data_SbP2Os
_cell_length_a 3.8116
_cell_length_b 4.2994
_cell_length_c 5.0930
_cell_angle_alpha 90.00
_cell_angle_beta 96.87
_cell_angle_gamma 90.00
_symmetry_space_group_name_H-M 'P 1 m 1'
_symmetry_Int_Tables_number 6
loop_
_symmetry_equiv_pos_as_xyz
'x,y,z'
'x,-y,z'
loop_
_atom_site_label
_atom_site_type_symbol
_atom_site_fract_x
_atom_site_fract_y
_atom_site_fract_z
_atom_site_occupancy
Sb1 Sb 0.0000 0.0000 0.0000 1
P1 P 0.2626 0.5000 0.5658 1
P2 P 0.5343 0.0000 0.3693 1
Os1 Os 0.7612 0.5000 0.2962 1
```


No. 5
# TbBiTe

TbBiTe after structural relaxation (PBE, Alexandria).

## Properties
The value obtained for the uncorrected energy is -4.647 eV/atom. The raw formation energy is -0.762 eV/atom. The value obtained for the spin magnetization is 0.0 μB/f.u.

Structure (CIF):
```
data_TbBiTe
_cell_length_a 3.9664
_cell_length_b 3.9664
_cell_length_c 11.3275
_cell_angle_alpha 90.00
_cell_angle_beta 90.00
_cell_angle_gamma 90.00
_symmetry_space_group_name_H-M 'I 4 m m'
_symmetry_Int_Tables_number 107
_symmetry_space_group_name_Hall 'I 4 -2'
loop_
_atom_site_label
_atom_site_type_symbol
_atom_site_fract_x
_atom_site_fract_y
_atom_site_fract_z
_atom_site_occupancy
Tb1 Tb 0.0000 0.0000 0.0000 1
Bi1 Bi 0.0000 0.0000 0.3216 1
Te1 Te 0.0000 0.0000 0.6194 1
```


No. 6
# Rb5Cd

Rb5Cd after structural relaxation (PBE, Alexandria).

## Properties
The value obtained for the uncorrected energy is -0.934 eV/atom. The formation enthalpy at 0 K is 0.0244 eV/atom. The value obtained for the spin magnetization is 0.0 μB/f.u.

Structure (CIF):
```
data_Rb5Cd
_cell_length_a 7.5155
_cell_length_b 23.6746
_cell_length_c 5.0346
_cell_angle_alpha 90.00
_cell_angle_beta 90.00
_cell_angle_gamma 90.00
_symmetry_space_group_name_H-M 'C m m m'
_symmetry_Int_Tables_number 65
_symmetry_space_group_name_Hall '-C 2 2'
loop_
_atom_site_label
_atom_site_type_symbol
_atom_site_fract_x
_atom_site_fract_y
_atom_site_fract_z
_atom_site_occupancy
Rb1 Rb 0.0000 0.0000 0.0000 1
Rb2 Rb 0.0000 0.1864 0.5000 1
Rb3 Rb 0.0000 0.3776 0.0000 1
Cd1 Cd 0.0000 0.5000 0.5000 1
```


No. 7
# CrCu2Te

CrCu2Te after structural relaxation (PBE, Alexandria).

## Properties
The value obtained for the uncorrected energy is -4.985 eV/atom. The raw formation energy is 0.254 eV/atom. The value obtained for the spin magnetization is 3.8 μB/f.u.

Structure (CIF):
```
data_CrCu2Te
_cell_length_a 3.9192
_cell_length_b 3.9192
_cell_length_c 4.1725
_cell_angle_alpha 90.00
_cell_angle_beta 90.00
_cell_angle_gamma 90.00
_symmetry_space_group_name_H-M 'P 4/m m m'
_symmetry_Int_Tables_number 123
_symmetry_space_group_name_Hall '-P 4 2'
loop_
_atom_site_label
_atom_site_type_symbol
_atom_site_fract_x
_atom_site_fract_y
_atom_site_fract_z
_atom_site_occupancy
Cr1 Cr 0.0000 0.0000 0.0000 1
Cu1 Cu 0.0000 0.5000 0.5000 1
Te1 Te 0.5000 0.5000 0.0000 1
```


No. 8
# TaAlRe2

TaAlRe2 after structural relaxation (PBE, Alexandria).

## Properties
The value obtained for the uncorrected energy is -10.241 eV/atom. The formation enthalpy at 0 K is -0.1186 eV/atom. The value obtained for the spin magnetization is 0.0 μB/f.u.

Structure (CIF):
```
data_TaAlRe2
_cell_length_a 3.1565
_cell_length_b 4.5615
_cell_length_c 8.6705
_cell_angle_alpha 90.00
_cell_angle_beta 90.00
_cell_angle_gamma 90.00
_symmetry_space_group_name_H-M 'C m m m'
_symmetry_Int_Tables_number 65
_symmetry_space_group_name_Hall '-C 2 2'
loop_
_atom_site_label
_atom_site_type_symbol
_atom_site_fract_x
_atom_site_fract_y
_atom_site_fract_z
_atom_site_occupancy
Ta1 Ta 0.0000 0.0000 0.0000 1
Al1 Al 0.0000 0.0000 0.5000 1
Re1 Re 0.0000 0.5000 0.2560 1
```


No. 9
# Sr2Li9Pb6

Sr2Li9Pb6 after structural relaxation (PBE, Alexandria).

## Properties
The value obtained for the uncorrected energy is -2.763 eV/atom. The formation enthalpy at 0 K is -0.2428 eV/atom. The value obtained for the spin magnetization is 0.0 μB/f.u.

Structure (CIF):
```
data_Sr2Li9Pb6
_cell_length_a 6.1223
_cell_length_b 6.1223
_cell_length_c 14.3135
_cell_angle_alpha 90.00
_cell_angle_beta 90.00
_cell_angle_gamma 120.00
_symmetry_space_group_name_H-M 'P 6/m m m'
_symmetry_Int_Tables_number 191
_symmetry_space_group_name_Hall '-P 6 2'
loop_
_atom_site_label
_atom_site_type_symbol
_atom_site_fract_x
_atom_site_fract_y
_atom_site_fract_z
_atom_site_occupancy
Sr1 Sr 0.0000 0.0000 0.1649 1
Li1 Li 0.0000 0.5000 0.0000 1
Li2 Li 0.0000 0.5000 0.3379 1
Pb1 Pb 0.3333 0.6667 0.1693 1
Pb2 Pb 0.3333 0.6667 0.5000 1
```


No. 10
# Tm5Th3Sb8

Tm5Th3Sb8 after structural relaxation (PBE, Alexandria).

## Properties
The value obtained for the uncorrected energy is -5.856 eV/atom. The raw formation energy is -1.006 eV/atom. The value obtained for the spin magnetization is 0.0 μB/f.u.

Structure (CIF):
```
data_Tm5Th3Sb8
_cell_length_a 8.8181
_cell_length_b 8.8181
_cell_length_c 21.5112
_cell_angle_alpha 90.00
_cell_angle_beta 90.00
_cell_angle_gamma 120.00
_symmetry_space_group_name_H-M 'R -3 m'
_symmetry_Int_Tables_number 166
_symmetry_space_group_name_Hall '-R 3 2"'
loop_
_atom_site_label
_atom_site_type_symbol
_atom_site_fract_x
_atom_site_fract_y
_atom_site_fract_z
_atom_site_occupancy
Tm1 Tm 0.0000 0.0000 0.0000 1
Tm2 Tm 0.0000 0.0000 0.5000 1
Tm3 Tm 0.0000 0.5000 0.0000 1
Th1 Th 0.0000 0.5000 0.5000 1
Sb1 Sb 0.0000 0.0000 0.2545 1
Sb2 Sb 0.0056 0.5028 0.2528 1
```